## ReNi2Rh (GGA-PBE)

Data for crystalline ReNi2Rh at its relaxed geometry.

The space group is P4/mmm (No. 123) and the conventional cell measures 2.632, 2.632 and 7.384 Å, with angles of 90.00, 90.00 and 90.00 degrees. The inequivalent atoms are Re at (0.000, 0.000, 0.000), Ni at (0.500, 0.500, 0.248) and Rh at (0.000, 0.000, 0.500).

For the energy above the lowest structure with this stoichiometry, the calculation gives 27 kJ/mol of formula units. The value obtained for the energy of formation from the pure elements is 0.033 eV/atom.

***

## ReNi3Rh3 (GGA-PBE)

Data for crystalline ReNi3Rh3 at its relaxed geometry.

The space group is P6_3/m (No. 176) and the conventional cell measures 9.6568, 9.6568 and 2.6268 Å, with angles of 90.00, 90.00 and 120.00 degrees. The inequivalent atoms are Re at (0.3333, 0.6667, 0.2500), Ni at (0.1161, 0.8771, 0.7500) and Rh at (0.0745, 0.4374, 0.2500).

For the energy above the lowest structure with this stoichiometry, the calculation gives 196 kJ/mol of formula units. The value obtained for the energy of formation from the pure elements is 0.481 eV/atom.

***

Number 1: VASP energy -7.808 eV/atom. Number 2: VASP energy -6.925 eV/atom.